Below is crystalline TbPrGe2Ir at its relaxed geometry, with properties calculated at the GGA-PBE level.

```
TbPrGe2Ir
1.0
5.383 -2.189 0.000
5.383 2.189 0.000
-4.782 0.000 9.369
Tb Pr Ge Ir
2 2 4 2
Direct
0.011 0.011 0.333
0.989 0.989 0.667
0.193 0.193 0.118
0.807 0.807 0.882
0.352 0.352 0.449
0.486 0.486 0.121
0.514 0.514 0.879
0.648 0.648 0.551
0.269 0.269 0.658
0.731 0.731 0.342
```

Calculated values
Size of the total moment   0.0009 μB per atom
Theoretical density   9.6 g/cm³
Energy relative to the lowest polymorph listed for this composition   0.0000 eV/atom


Below is crystalline PrTmGe2Ir at its relaxed geometry, with properties calculated at the GGA-PBE level.

```
PrTmGe2Ir
1.0
5.400 -2.160 0.000
5.400 2.160 0.000
-4.902 0.000 9.349
Pr Tm Ge Ir
2 2 4 2
Direct
0.005 0.005 0.326
0.995 0.995 0.674
0.187 0.187 0.119
0.813 0.813 0.881
0.346 0.346 0.444
0.479 0.479 0.111
0.521 0.521 0.889
0.654 0.654 0.556
0.275 0.275 0.672
0.725 0.725 0.328
```

Calculated values
Size of the total moment   0.0002 μB per atom
Theoretical density   9.9 g/cm³
Total energy   -6.32 eV/atom


Below is crystalline PrYGe2Ir at its relaxed geometry, with properties calculated at the GGA-PBE level.

```
PrYGe2Ir
1.0
5.371 -2.186 0.000
5.371 2.186 0.000
-4.765 0.000 9.353
Pr Y Ge Ir
2 2 4 2
Direct
0.193 0.193 0.118
0.807 0.807 0.882
0.011 0.011 0.334
0.989 0.989 0.666
0.352 0.352 0.449
0.486 0.486 0.122
0.514 0.514 0.878
0.648 0.648 0.551
0.269 0.269 0.658
0.731 0.731 0.342
```

Calculated values
Size of the total moment   0.0011 μB per atom
Theoretical density   8.6 g/cm³
Total energy   -6.74 eV/atom


Below is crystalline Ge2IrPt at its relaxed geometry, with properties calculated at the GGA-PBE level.

```
Ge2IrPt
1.0
0.000 3.179 3.179
3.179 0.000 3.179
3.179 3.179 0.000
Ge Ir Pt
2 1 1
Direct
0.000 0.000 0.000
0.250 0.250 0.250
0.750 0.750 0.750
0.500 0.500 0.500
```

Calculated values
Size of the total moment   0.0014 μB per atom
Theoretical density   13.8 g/cm³
Energy relative to the lowest polymorph listed for this composition   0.6163 eV/atom


Q: What is the size of the total moment in the first record?
A: 0.0009 μB per atom


Q: Among the records above, which one has the highest size of the total moment?
A: Ge2IrPt


Q: What is the theoretical density in the third record?
A: 8.6 g/cm³